# 1
4
Lattice="2.872 0.000 0.000 0.000 4.031 0.000 0.000 0.000 6.817" Properties=species:S:1:pos:R:3 comment="SCAN CaTaAg2, PBEsol geometry" e_above_lowest_polymorph_ev_per_atom=0.000 delta_e_f_kj_per_mol_atoms=26.15 volume_a3_per_fu=79 sg="Pmmm, No. 47" total_energy_ev_per_atom=-34.47 pbc="T T T"
Ag 0.000 0.000 1.970
Ag 0.000 0.000 4.848
Ta 1.436 2.015 3.409
Ca 1.436 2.015 0.000


# 2
4
Lattice="-0.294 -1.819 1.878 0.544 -2.522 -0.514 8.123 -0.214 2.908" Properties=species:S:1:pos:R:3 comment="SCAN TaMn2Cu, PBEsol geometry" delta_e_f_kj_per_mol_atoms=24.22 volume_a3_per_fu=51 sg="R3m, No. 160" total_energy_ev_per_atom=-29.32 pbc="T T T"
Mn 8.003 -0.233 2.871
Mn 6.517 -3.380 3.276
Ta 4.227 -2.271 2.148
Cu 1.934 -1.163 1.019


# 3
3
Lattice="2.605 0.000 0.000 0.000 4.388 0.000 0.000 -2.194 3.800" Properties=species:S:1:pos:R:3 comment="SCAN TaCuTc, PBEsol geometry" e_above_lowest_polymorph_ev_per_atom=0.000 delta_e_f_kj_per_mol_atoms=-0.90 volume_a3_per_fu=43 sg="P3m1, No. 156" total_energy_ev_per_atom=-38.96 pbc="T T T"
Cu 2.603 0.000 0.000
Ta 1.723 2.194 1.267
Tc 0.884 0.000 2.534


# 4
4
Lattice="-1.341 -2.689 1.272 2.893 -0.854 1.245 -1.301 3.074 5.128" Properties=species:S:1:pos:R:3 comment="SCAN MnCoSe2, PBEsol geometry" e_above_lowest_polymorph_ev_per_atom=0.000 volume_a3_per_fu=65 sg="P4mm, No. 99" total_energy_ev_per_atom=-19.33 pbc="T T T"
Mn -0.187 0.505 5.056
Co -0.662 1.564 2.609
Se -1.153 2.725 4.546
Se 0.302 -0.652 3.127


# 5
18
Lattice="-4.864 -3.897 1.787 5.899 -6.165 2.611 -2.837 6.187 5.770" Properties=species:S:1:pos:R:3 comment="SCAN Tm5NiPb3, PBEsol geometry" delta_e_f_kj_per_mol_atoms=-67.03 volume_a3_per_fu=224 sg="P6_3/mcm, No. 193" total_energy_ev_per_atom=-56.55 pbc="T T T"
Pb -0.105 -6.625 2.908
Pb -2.425 -2.914 4.688
Pb -5.351 0.793 4.805
Pb 0.623 -0.961 5.480
Pb 1.140 -3.437 1.490
Pb -2.349 1.497 2.752
Tm -4.325 -1.447 2.717
Tm 0.075 2.070 4.717
Tm -2.357 0.121 5.611
Tm 3.276 -5.668 2.435
Tm -0.485 -0.969 2.446
Tm -2.241 -4.393 1.963
Tm 2.987 -2.048 3.664
Tm 0.555 -3.996 4.558
Tm -3.376 3.737 4.840
Tm -1.316 -2.906 7.722
Ni -2.432 -1.948 0.893
Ni 0.000 0.000 0.000


# 6
4
Lattice="3.034 0.000 0.000 0.000 3.296 0.000 0.000 0.000 6.916" Properties=species:S:1:pos:R:3 comment="SCAN BaSiNi2, PBEsol geometry" volume_a3_per_fu=69 sg="Pmm2, No. 25" total_energy_ev_per_atom=-20.29 pbc="T T T"
Ni 1.517 1.648 1.792
Ni 0.000 0.000 0.554
Si 0.000 0.000 2.755
Ba 1.517 1.648 5.272


# 7
6
Lattice="-1.830 -1.346 2.006 -0.706 -3.515 -5.292 5.861 -2.391 3.743" Properties=species:S:1:pos:R:3 comment="SCAN Cd5In, PBEsol geometry" e_above_lowest_polymorph_ev_per_atom=0.007 delta_e_f_kj_per_mol_atoms=4.14 volume_a3_per_fu=130 sg="Cm, No. 8" total_energy_ev_per_atom=-30.87 pbc="T T T"
Cd 0.378 -3.926 -2.289
Cd 2.782 -4.444 -0.444
Cd -2.480 -4.846 -3.225
Cd 0.529 -2.888 0.834
Cd 3.354 -1.895 1.788
In 3.895 -4.751 2.655


# 8
4
Lattice="2.773 0.000 0.000 0.000 4.796 0.000 -1.386 -2.398 4.426" Properties=species:S:1:pos:R:3 comment="SCAN TaOs3, PBEsol geometry" delta_e_f_kj_per_mol_atoms=-17.82 volume_a3_per_fu=59 sg="Imm2, No. 44" total_energy_ev_per_atom=-70.74 pbc="T T T"
Ta 0.000 3.216 0.000
Os 1.386 0.804 0.000
Os 1.386 2.386 2.249
Os 0.000 -0.011 2.177


# 9
4
Lattice="3.004 0.000 0.000 0.000 4.293 0.000 0.000 0.000 5.935" Properties=species:S:1:pos:R:3 comment="SCAN LiMg2Cr, PBEsol geometry" delta_e_f_kj_per_mol_atoms=14.25 volume_a3_per_fu=77 sg="Pmm2, No. 25" total_energy_ev_per_atom=-7.53 pbc="T T T"
Mg 0.000 0.000 5.873
Mg 1.502 2.146 1.614
Li 1.502 2.146 4.405
Cr 0.000 0.000 2.947


# 10
5
Lattice="5.596 0.000 0.000 0.000 5.596 0.000 0.000 0.000 5.596" Properties=species:S:1:pos:R:3 comment="SCAN LaSiSe3, PBEsol geometry" e_above_lowest_polymorph_ev_per_atom=1.116 volume_a3_per_fu=175 sg="Pm-3m, No. 221" total_energy_ev_per_atom=-22.54 pbc="T T T"
Si 2.798 2.798 2.798
La 0.000 0.000 0.000
Se 0.000 0.000 2.798
Se 2.798 0.000 0.000
Se 0.000 2.798 0.000


# 11
25
Lattice="5.783 0.000 0.000 -2.891 5.008 0.000 0.000 0.000 7.951" Properties=species:S:1:pos:R:3 comment="SCAN Li14Mn2O9, PBEsol geometry" volume_a3_per_fu=230 sg="P-3, No. 147" total_energy_ev_per_atom=-7.02 pbc="T T T"
O 0.000 0.000 0.000
O 1.856 0.113 2.713
O 2.891 1.669 0.069
O 2.061 3.344 2.713
O 1.035 4.895 5.238
O -1.865 3.457 5.238
O 4.757 1.551 2.713
O 0.830 1.664 5.238
O 0.000 3.339 7.882
Li 0.724 1.875 3.288
Li 4.521 1.565 4.663
Li 1.690 3.500 0.746
Li 2.167 3.132 4.663
Li -0.985 4.722 0.746
Li 0.000 0.000 5.891
Li 3.597 3.214 7.205
Li 0.905 4.697 3.288
Li 3.876 0.286 7.205
Li -1.629 3.443 3.288
Li 0.000 0.000 2.060
Li -0.705 1.794 0.746
Li 1.201 1.508 7.205
Li 1.986 0.310 4.663
Mn 0.000 3.339 5.923
Mn 2.891 1.669 2.028


# 12
40
Lattice="-5.729 -0.721 -3.097 -3.947 -3.699 8.162 -3.027 14.105 2.316" Properties=species:S:1:pos:R:3 comment="SCAN Cs2ZnO2, PBEsol geometry" volume_a3_per_fu=116 sg="P2_1/c, No. 14" total_energy_ev_per_atom=-21.76 pbc="T T T"
O -3.723 5.559 0.332
O -5.596 3.712 6.410
O -5.727 10.949 6.373
O -8.980 4.127 7.048
O -8.245 7.284 3.985
O -7.246 -2.888 4.067
O -7.263 7.690 9.003
O -5.440 1.995 -1.623
O -5.292 7.780 2.310
O -3.932 -0.893 6.217
O -5.457 12.573 3.314
O -6.976 -1.263 1.008
O -8.771 10.579 1.163
O -4.457 2.401 3.396
O -7.411 1.906 5.070
O -7.106 5.974 0.971
Cs -3.753 5.360 3.266
Cs -6.709 -0.304 6.791
Cs -4.606 -0.770 -0.661
Cs -10.199 1.172 5.768
Cs -7.732 10.327 3.931
Cs -8.949 4.326 4.114
Cs -4.411 8.829 4.862
Cs -6.990 6.341 6.432
Cs -2.503 8.513 1.612
Cs -8.292 0.856 2.518
Cs -2.217 1.300 1.889
Cs -8.097 10.455 8.042
Cs -4.971 -0.641 3.450
Cs -10.486 8.386 5.492
Cs -5.993 9.989 0.589
Cs -5.713 3.345 0.948
Zn -7.034 7.001 2.627
Zn -5.669 2.685 4.753
Zn -5.312 6.756 0.554
Zn -4.702 12.111 5.109
Zn -8.001 -2.426 2.272
Zn -3.852 11.757 2.564
Zn -8.851 -2.072 4.817
Zn -7.390 2.929 6.827